1.
Material: GeS2O
Method: DFT, PBE-GGA
State: optimized geometry

Computed properties:
total magnetization	0.0	μB per cell
energy above the lowest structure with this stoichiometry	0.633	eV/atom
volume	13.7	Å³ per atom

a b c (Å): 4.2646 4.2646 4.2646
angles (deg): 60.00 60.00 60.00
Fractional positions:
Ge 0.5000 0.5000 0.5000
S 0.2500 0.2500 0.2500
S 0.7500 0.7500 0.7500
O 0.0000 0.0000 0.0000

---

2.
Material: Pu4GeRh
Method: DFT, PBE-GGA
State: optimized geometry

Computed properties:
formation energy	-0.223	eV per atom
total magnetization	46.8	μB per cell
energy above the lowest structure with this stoichiometry	0.000	eV/atom
volume	23.9	Å³ per atom

a b c (Å): 5.7407 7.0708 7.0708
angles (deg): 90.00 90.00 90.00
Site moments in Bohr magnetons follow the coordinates.
Fractional positions:
Pu 0.0000 0.1650 0.6556  5.48
Pu 0.0000 0.8350 0.3444  5.48
Pu 0.0000 0.3444 0.1650  5.48
Pu 0.0000 0.6556 0.8350  5.48
Pu 0.5000 0.8350 0.6556  5.48
Pu 0.5000 0.1650 0.3444  5.48
Pu 0.5000 0.6556 0.1650  5.48
Pu 0.5000 0.3444 0.8350  5.48
Ge 0.2500 0.0000 0.0000  -0.09
Ge 0.7500 0.0000 0.0000  -0.09
Rh 0.2500 0.5000 0.5000  -0.21
Rh 0.7500 0.5000 0.5000  -0.21

---

3.
Material: Tc2TeRhS
Method: DFT, PBE-GGA
State: optimized geometry

Computed properties:
calculated total energy	-5.92	eV per atom
total magnetization	6.7	μB per cell
volume	22.1	Å³ per atom

a b c (Å): 5.1210 4.2120 5.1210
angles (deg): 90.00 90.00 90.00
Site moments in Bohr magnetons follow the coordinates.
Fractional positions:
S 0.0000 0.5000 0.0000  0.06
Te 0.5000 0.5000 0.5000  -0.10
Rh 0.0000 0.0000 0.0000  0.47
Tc 0.0000 0.0000 0.5000  2.90
Tc 0.5000 0.0000 0.0000  2.75

---

4.
Material: TmLuInRh
Method: DFT, PBE-GGA
State: optimized geometry

Computed properties:
formation energy	-0.604	eV per atom
total magnetization	0.0	μB per cell
volume	22.2	Å³ per atom

a b c (Å): 5.0082 5.0082 5.0082
angles (deg): 60.00 60.00 60.00
Fractional positions:
Rh 0.0000 0.0000 0.0000
Lu 0.2500 0.2500 0.2500
Tm 0.7500 0.7500 0.7500
In 0.5000 0.5000 0.5000

---

5.
Material: CuAsPd6
Method: DFT, PBE-GGA
State: optimized geometry

Computed properties:
formation energy	-0.176	eV per atom
total magnetization	0.0	μB per cell
energy above the lowest structure with this stoichiometry	0.000	eV/atom
volume	15.0	Å³ per atom

a b c (Å): 7.6062 7.6067 4.1332
angles (deg): 74.23 74.24 31.53
Fractional positions:
Cu 0.5000 0.5000 0.5000
As 0.0000 0.0000 0.0000
Pd 0.6131 0.6131 0.8869
Pd 0.8869 0.8869 0.6131
Pd 0.2489 0.2489 0.7511
Pd 0.1131 0.1131 0.3869
Pd 0.3869 0.3869 0.1131
Pd 0.7511 0.7511 0.2489

---

6.
Material: In2ReW
Method: DFT, PBE-GGA
State: optimized geometry

Computed properties:
formation energy	0.693	eV per atom
total magnetization	0.0	μB per cell
energy above the lowest structure with this stoichiometry	0.430	eV/atom
volume	18.1	Å³ per atom

a b c (Å): 2.9707 5.1302 5.8484
angles (deg): 54.15 90.00 90.00
Fractional positions:
In 0.0000 0.0000 0.0000
In 0.5000 0.5000 0.0000
Re 0.5000 0.5000 0.5000
W 0.0000 0.0000 0.5000